Entry 1:
Here is Pr4Er3TmSe8 after structural relaxation from Alexandria via LeMat-Bulk. Energies are from PBE-GGA.

abc: 8.151 8.464 8.151
angles: 118.80 120.00 90.00
Element x y z (fractional)
1 Pr 0.500 0.000 0.000
2 Pr 0.500 0.000 0.500
3 Pr 0.000 0.000 0.000
4 Pr 0.000 0.000 0.500
5 Er 0.500 0.500 0.000
6 Er 0.500 0.500 0.500
7 Er 0.000 0.500 0.500
8 Tm 0.000 0.500 0.000
9 Se 0.242 0.727 0.985
10 Se 0.242 0.727 0.484
11 Se 0.257 0.272 0.515
12 Se 0.743 0.727 0.985
13 Se 0.257 0.273 0.015
14 Se 0.743 0.728 0.485
15 Se 0.758 0.273 0.516
16 Se 0.758 0.273 0.015

The density of states at the Fermi level comes out at 7.763 states/eV per cell. The value obtained for the formation energy without anion corrections is -1.776 eV per atom. The energy is -5.848 eV per atom.



Entry 2:
Here is PrEr2TmSe6 after structural relaxation from Alexandria via LeMat-Bulk. Energies are from PBE-GGA.

abc: 7.236 7.236 7.702
angles: 61.97 61.97 59.99
Element x y z (fractional)
1 Pr 0.811 0.811 0.566
2 Er 0.516 0.516 0.453
3 Er 0.011 0.011 0.968
4 Tm 0.319 0.319 0.043
5 Se 0.609 0.229 0.246
6 Se 0.229 0.916 0.246
7 Se 0.916 0.609 0.246
8 Se 0.392 0.726 0.749
9 Se 0.726 0.133 0.749
10 Se 0.133 0.392 0.749

The density of states at the Fermi level comes out at 0.000 states/eV per cell. The value obtained for the formation energy without anion corrections is -1.836 eV per atom. The energy is -5.764 eV per atom.



Entry 3:
Here is Pr2ErTm3Se6 after structural relaxation from Alexandria via LeMat-Bulk. Energies are from PBE-GGA.

abc: 4.052 8.328 9.229
angles: 104.49 102.68 90.00
Element x y z (fractional)
1 Pr 0.831 0.663 0.662
2 Pr 0.169 0.337 0.338
3 Er 0.500 0.000 0.000
4 Tm 0.500 0.500 0.000
5 Tm 0.829 0.165 0.657
6 Tm 0.171 0.835 0.343
7 Se 0.335 0.932 0.670
8 Se 0.660 0.596 0.321
9 Se 0.665 0.068 0.330
10 Se 0.994 0.248 0.988
11 Se 0.006 0.752 0.012
12 Se 0.340 0.404 0.679

The density of states at the Fermi level comes out at 5.114 states/eV per cell. The value obtained for the formation energy without anion corrections is -1.729 eV per atom. The energy is -5.766 eV per atom.



Entry 4:
Here is Pr3ErTm3Se8 after structural relaxation from Alexandria via LeMat-Bulk. Energies are from PBE-GGA.

abc: 8.179 8.181 8.322
angles: 119.45 90.00 119.99
Element x y z (fractional)
1 Pr 0.000 0.000 0.000
2 Pr 0.000 0.500 0.000
3 Pr 0.500 0.500 0.000
4 Er 0.000 0.000 0.500
5 Tm 0.500 0.000 0.500
6 Tm 0.500 0.500 0.500
7 Tm 0.000 0.500 0.500
8 Se 0.257 0.514 0.272
9 Se 0.743 0.486 0.728
10 Se 0.752 0.503 0.266
11 Se 0.248 0.497 0.734
12 Se 0.752 0.014 0.266
13 Se 0.248 0.986 0.734
14 Se 0.263 0.014 0.266
15 Se 0.737 0.986 0.734

The density of states at the Fermi level comes out at 7.014 states/eV per cell. The value obtained for the formation energy without anion corrections is -1.828 eV per atom. The energy is -5.841 eV per atom.